First-principles (PBE-GGA) data for a relaxed structure of TiMo2W, as listed in the Alexandria database.

Values from the calculation:
Formation energy from the elements = -0.1438 eV per atom
E = -43.085 eV per cell
Density = 11.1 Mg/m³
Relative energy among the computed polymorphs = 0 meV/atom
Magnetic moment = 0.0 μB/f.u.

```
TiMo2W
1.0
0.0000 3.1619 3.1619
3.1619 0.0000 3.1619
3.1619 3.1619 0.0000
Ti Mo W
1 2 1
Cartesian
0.0000 0.0000 0.0000
1.5810 1.5810 1.5810
4.7429 4.7429 4.7429
3.1619 3.1619 3.1619
```